1.
# Be2Zn2Pt, relaxed, DFT PBE-GGA
# Calculated formation energy ... -0.7 eV per formula unit
# M_tot ... 0.00 μB per cell
# Calculated volume ... 12.00 Å³/atom
data_Be2Zn2Pt
_symmetry_space_group_name_H-M 'P 1'
_symmetry_Int_Tables_number 1
_symmetry_space_group_name_Hall 'P 1'
_cell_length_a 6.208
_cell_length_b 6.208
_cell_length_c 3.114
_cell_angle_alpha 90.00
_cell_angle_beta 90.00
_cell_angle_gamma 90.00
loop_
_atom_site_label
_atom_site_type_symbol
_atom_site_fract_x
_atom_site_fract_y
_atom_site_fract_z
Be1 Be 0.132 0.368 0.000
Be2 Be 0.368 0.868 0.000
Be3 Be 0.632 0.132 0.000
Be4 Be 0.868 0.632 0.000
Zn1 Zn 0.161 0.661 0.500
Zn2 Zn 0.339 0.161 0.500
Zn3 Zn 0.661 0.839 0.500
Zn4 Zn 0.839 0.339 0.500
Pt1 Pt 0.000 0.000 0.000
Pt2 Pt 0.500 0.500 0.000



2.
# Be2ZnPt, relaxed, DFT PBE-GGA
# Calculated formation energy ... 0.0 eV per formula unit
# M_tot ... 0.00 μB per cell
# Calculated volume ... 12.42 Å³/atom
data_Be2ZnPt
_symmetry_space_group_name_H-M 'P 1'
_symmetry_Int_Tables_number 1
_symmetry_space_group_name_Hall 'P 1'
_cell_length_a 7.984
_cell_length_b 7.984
_cell_length_c 7.984
_cell_angle_alpha 19.51
_cell_angle_beta 19.51
_cell_angle_gamma 19.51
loop_
_atom_site_label
_atom_site_type_symbol
_atom_site_fract_x
_atom_site_fract_y
_atom_site_fract_z
Be1 Be 0.000 0.000 0.000
Be2 Be 0.260 0.260 0.260
Zn1 Zn 0.510 0.510 0.510
Pt1 Pt 0.744 0.744 0.744



3.
# BeZnPt, relaxed, DFT PBE-GGA
# ΔE to the lowest computed polymorph ... 66 meV per atom
# Calculated formation energy ... -1.4 eV per formula unit
# M_tot ... 0.00 μB per cell
# Calculated volume ... 13.49 Å³/atom
data_BeZnPt
_symmetry_space_group_name_H-M 'P 1'
_symmetry_Int_Tables_number 1
_symmetry_space_group_name_Hall 'P 1'
_cell_length_a 10.297
_cell_length_b 10.297
_cell_length_c 10.297
_cell_angle_alpha 164.20
_cell_angle_beta 164.20
_cell_angle_gamma 22.42
loop_
_atom_site_label
_atom_site_type_symbol
_atom_site_fract_x
_atom_site_fract_y
_atom_site_fract_z
Be1 Be 0.220 0.220 0.000
Be2 Be 0.780 0.780 0.000
Zn1 Zn 0.062 0.062 0.000
Zn2 Zn 0.938 0.938 0.000
Pt1 Pt 0.341 0.341 0.000
Pt2 Pt 0.659 0.659 0.000



Question: Among the records above, which one has the highest calculated volume?
Answer: BeZnPt



Question: Which of these has the lowest calculated formation energy?
Answer: BeZnPt



Question: The highest calculated volume belongs to which entry?
Answer: BeZnPt



Question: Which value of calculated volume does entry 1 give?
Answer: 12.00 Å³/atom